Entry 1:
DFT (GGA-PBE) results for a relaxed Ba4Ge2I5 crystal.

The calculation puts the total DFT energy (no corrections) at -78.4 eV/cell. The calculated volume comes out at 47.13 Å³/atom.

It has space group C2/m (No. 12), with a = 23.670 Å, b = 5.041 Å, c = 9.478 Å, α = 90.00°, β = 113.55° and γ = 90.00°. Symmetry generates all atoms from Ba at (0.000, 0.000, 0.229), Ba at (0.203, 0.500, 0.203), Ge at (0.053, 0.500, 0.053), I at (0.000, 0.500, 0.500), I at (0.169, 0.000, 0.426) and I at (0.169, 0.000, 0.913).



Entry 2:
DFT (GGA-PBE) results for a relaxed Be2Pb2N crystal.

The calculation puts the total DFT energy (no corrections) at -36.7 eV/cell. The calculated volume comes out at 17.35 Å³/atom. The calculation puts the relative energy among the computed polymorphs at 0.0 meV per atom.

It has space group I4/mmm (No. 139), with a = 3.176 Å, b = 3.176 Å, c = 17.204 Å, α = 90.00°, β = 90.00° and γ = 90.00°. Symmetry generates all atoms from Be at (0.000, 0.500, 0.250), Pb at (0.000, 0.000, 0.089) and N at (0.000, 0.000, 0.500).



Entry 3:
DFT (GGA-PBE) results for a relaxed SmAgPd crystal.

The calculation puts the total DFT energy (no corrections) at -14.2 eV/cell. The calculated volume comes out at 22.16 Å³/atom. The calculation puts the relative energy among the computed polymorphs at 71.7 meV per atom.

It has space group P-6m2 (No. 187), with a = 4.6740 Å, b = 4.6740 Å, c = 3.5131 Å, α = 90.00°, β = 90.00° and γ = 120.00°. Symmetry generates all atoms from Sm at (0.0000, 0.0000, 0.0000), Ag at (0.6667, 0.3333, 0.5000) and Pd at (0.3333, 0.6667, 0.5000).



Entry 4:
DFT (GGA-PBE) results for a relaxed AgSbPb2S4 crystal.

The calculation puts the total DFT energy (no corrections) at -133.3 eV/cell. The calculated volume comes out at 24.05 Å³/atom. The calculation puts the relative energy among the computed polymorphs at 0.0 meV per atom.

It has space group Imma (No. 74), with a = 8.111 Å, b = 8.277 Å, c = 11.464 Å, α = 90.00°, β = 90.00° and γ = 90.00°. Symmetry generates all atoms from Ag at (0.000, 0.000, 0.000), Sb at (0.250, 0.250, 0.250), Pb at (0.000, 0.000, 0.500), Pb at (0.250, 0.250, 0.750), S at (0.000, 0.016, 0.241) and S at (0.238, 0.250, 0.009).



Entry 5:
DFT (GGA-PBE) results for a relaxed PrDy3Th2P6 crystal.

The calculation puts the total DFT energy (no corrections) at -169.9 eV/cell. The calculated volume comes out at 24.12 Å³/atom.

It has space group C2/m (No. 12), with a = 17.787 Å, b = 4.095 Å, c = 8.155 Å, α = 90.00°, β = 102.98° and γ = 90.00°. Symmetry generates all atoms from Pr at (0.000, 0.000, 0.000), Dy at (0.000, 0.000, 0.500), Dy at (0.165, 0.500, 0.834), Th at (0.166, 0.500, 0.331), P at (0.001, 0.500, 0.742), P at (0.166, 0.000, 0.587) and P at (0.170, 0.000, 0.081).



Entry 6:
DFT (GGA-PBE) results for a relaxed Te2PBr crystal.

The calculation puts the total DFT energy (no corrections) at -24.6 eV/cell. The calculated volume comes out at 33.02 Å³/atom. The calculation puts the relative energy among the computed polymorphs at 179.6 meV per atom.

It has space group Immm (No. 71), with a = 3.633 Å, b = 8.347 Å, c = 8.711 Å, α = 90.00°, β = 90.00° and γ = 90.00°. Symmetry generates all atoms from Te at (0.000, 0.000, 0.216), P at (0.000, 0.500, 0.500) and Br at (0.000, 0.500, 0.000).



Entry 7:
DFT (GGA-PBE) results for a relaxed KMn2CuTe4 crystal.

The calculation puts the total DFT energy (no corrections) at -152.7 eV/cell. The calculated volume comes out at 27.19 Å³/atom.

It has space group Cmcm (No. 63), with a = 4.119 Å, b = 14.236 Å, c = 14.835 Å, α = 90.00°, β = 90.00° and γ = 90.00°. Symmetry generates all atoms from K at (0.000, 0.126, 0.250), Mn at (0.000, 0.373, 0.067), Cu at (0.000, 0.166, 0.750), Te at (0.000, 0.000, 0.000), Te at (0.000, 0.255, 0.598) and Te at (0.000, 0.439, 0.250).



Entry 8:
DFT (GGA-PBE) results for a relaxed As2OF crystal.

The calculation puts the total DFT energy (no corrections) at -74.0 eV/cell. The calculated volume comes out at 15.20 Å³/atom. The calculation puts the relative energy among the computed polymorphs at 0.0 meV per atom.

It has space group I-42d (No. 122), with a = 4.151 Å, b = 4.151 Å, c = 14.112 Å, α = 90.00°, β = 90.00° and γ = 90.00°. Symmetry generates all atoms from As at (0.174, 0.250, 0.125), O at (0.000, 0.000, 0.000) and F at (0.000, 0.000, 0.500).



Number 1: spin magnetization 0.00 Bohr magnetons per cell. Number 2: spin magnetization 0.00 Bohr magnetons per cell. Number 3: spin magnetization 0.00 Bohr magnetons per cell. Number 4: spin magnetization 0.00 Bohr magnetons per cell. Number 5: spin magnetization 0.00 Bohr magnetons per cell. Number 6: spin magnetization 0.00 Bohr magnetons per cell. Number 7: spin magnetization 32.26 Bohr magnetons per cell. Number 8: spin magnetization 0.00 Bohr magnetons per cell.